Compound: CaAc2NdBi4
Source: Alexandria via LeMat-Bulk
Functional: PBE
Structure: relaxed

The calculation puts the calculated formation energy at -0.876 eV per atom. The total magnetization is 0.0 μB per formula unit.

It has space group P2/m (No. 10), with a = 8.1455 Å, b = 4.7894 Å, c = 8.2919 Å, α = 90.00°, β = 109.92° and γ = 90.00°. Symmetry generates all atoms from Ca at (0.0000, 0.0000, 0.0000), Ac at (0.5000, 0.0000, 0.5000), Ac at (0.5000, 0.5000, 0.0000), Nd at (0.0000, 0.5000, 0.5000), Bi at (0.2350, 0.0000, 0.7437) and Bi at (0.2350, 0.5000, 0.2462).